Compound: La2SiI
Source: the Alexandria database
Functional: PBE
Structure: optimized geometry Values from VASP.

The structure in Quantum ESPRESSO input format:
```
&SYSTEM
  ibrav = 0, nat = 4, ntyp = 3
/
ATOMIC_SPECIES
Si 28.09 Si.upf
I 126.90 I.upf
La 138.91 La.upf
CELL_PARAMETERS angstrom
4.426 0.000 0.000
2.213 3.833 0.000
2.213 1.278 7.836
ATOMIC_POSITIONS crystal
Si 0.000 0.000 0.000
I 0.500 0.500 0.500
La 0.266 0.266 0.201
La 0.734 0.734 0.799
```

The total energy is -5.224 eV per atom. As for the magnetization: 0.00 Bohr magnetons per cell. The calculation puts the raw formation energy at -1.0172 eV/atom.